The following is a PBE-GGA calculation of a relaxed structure of Ca6Mg6Cu, from the Alexandria database.

**SG**: P6/mmm, No. 191
**E_form**: 0.114 eV/atom
**DOS(E_F)**: 11.5 states/eV/f.u.

Lattice parameters (Å, degrees): 6.4146 6.4146 11.4786 90.00 90.00 120.00
Last column: nearest neighbours and their distance in Å.
Fractional positions:
Ca  0.6667  0.3333  0.0000  6 Mg 3.38, 3 Ca 3.70, 3 Cu 3.70
Ca  0.0000  0.0000  0.3237  6 Mg 3.33, 1 Cu 3.72
Ca  0.0000  0.0000  0.6763  6 Mg 3.33, 1 Cu 3.72
Ca  0.6667  0.3333  0.5000  6 Mg 3.45, 3 Ca 3.70
Ca  0.3333  0.6667  0.5000  6 Mg 3.45, 3 Ca 3.70
Ca  0.3333  0.6667  0.0000  6 Mg 3.38, 3 Ca 3.70, 3 Cu 3.70
Mg  0.5000  0.5000  0.2462  4 Mg 3.21, 6 Ca 3.33-3.45
Mg  0.0000  0.5000  0.2462  4 Mg 3.21, 6 Ca 3.33-3.45
Mg  0.5000  0.5000  0.7538  4 Mg 3.21, 6 Ca 3.33-3.45
Mg  0.5000  0.0000  0.7538  4 Mg 3.21, 6 Ca 3.33-3.45
Mg  0.5000  0.0000  0.2462  4 Mg 3.21, 6 Ca 3.33-3.45
Mg  0.0000  0.5000  0.7538  4 Mg 3.21, 6 Ca 3.33-3.45
Cu  0.0000  0.0000  0.0000  8 Ca 3.70-3.72